Entry from the Alexandria database: a geometry-optimized VGeO4 structure (GGA+U). Values from VASP.

- Total magnetization: 4.000 Bohr magnetons per cell
- DFT total energy: -168.6 eV/cell
- Space-group type: No. 60

Cell and atoms, written as Quantum ESPRESSO input:
```
&SYSTEM
  ibrav = 0, nat = 24, ntyp = 3
/
ATOMIC_SPECIES
V 50.94 V.upf
Ge 72.64 Ge.upf
O 16.00 O.upf
CELL_PARAMETERS angstrom
4.312 0.000 0.000
0.000 11.630 0.000
0.000 0.000 4.730
ATOMIC_POSITIONS angstrom
V 0.000 0.823 1.182
V 0.000 10.807 3.547
V 2.156 4.992 3.547
V 2.156 6.638 1.182
Ge 0.000 3.740 1.182
Ge 0.000 7.890 3.547
Ge 2.156 2.075 3.547
Ge 2.156 9.555 1.182
O 0.992 2.244 0.386
O 0.992 9.386 2.751
O 1.070 5.095 0.366
O 1.070 6.535 2.731
O 1.086 0.720 2.731
O 1.086 10.910 0.366
O 1.164 3.571 2.751
O 1.164 8.059 0.386
O 3.148 3.571 4.344
O 3.148 8.059 1.979
O 3.226 0.720 4.364
O 3.226 10.910 1.999
O 3.242 5.095 1.999
O 3.242 6.535 4.364
O 3.320 2.244 1.979
O 3.320 9.386 4.344
```